Entry A
A relaxed Hg3PbAu crystal. Source: the Alexandria database, functional PBE-GGA.

Calculated values
The magnetization is 0.00 Bohr magnetons per cell. For the density, the calculation gives 12.933 g/cm3.

Geometry as POSCAR:
```
Hg3PbAu
1.0
5.2973 0.0000 -2.6075
-0.0001 6.2046 0.0001
-0.5534 0.0001 8.1314
Pb Au Hg
2 2 6
direct
0.2778 0.4476 0.6739
0.7565 0.9476 0.8867
0.8500 0.4476 0.8421
0.1843 0.9476 0.7185
0.6611 0.1947 0.4865
0.3732 0.2005 0.0741
0.6611 0.7005 0.4865
0.0659 0.9476 0.3308
0.9685 0.4476 0.2298
0.3732 0.6947 0.0741
```

Entry B
A relaxed Hg3PbAu crystal. Source: the Alexandria database, functional PBE-GGA.

Calculated values
The magnetization is 0.00 Bohr magnetons per cell. For the density, the calculation gives 12.364 g/cm3.

Geometry as POSCAR:
```
Hg3PbAu
1.0
-0.6589 -1.9323 5.0412
4.0776 -5.3792 -1.5278
2.6085 7.8523 3.3495
Hg Pb Au
6 2 2
direct
0.2500 0.7506 0.4843
0.7500 0.0103 0.7076
0.2500 0.3369 0.9464
0.2500 0.9897 0.2924
0.7500 0.6631 0.0536
0.7500 0.2494 0.5157
0.7500 0.4706 0.2849
0.2500 0.5294 0.7151
0.5000 0.0000 0.0000
0.0000 0.0000 0.0000
```

Entry C
A relaxed Hg3PbAu crystal. Source: the Alexandria database, functional PBE-GGA.

Calculated values
The magnetization is 0.00 Bohr magnetons per cell. For the density, the calculation gives 11.032 g/cm3.

Geometry as POSCAR:
```
Hg3PbAu
1.0
5.3299 0.0000 0.0000
0.0000 5.3299 0.0000
0.0000 0.0000 5.3299
Hg Au Pb
3 1 1
direct
0.0000 0.0000 0.5000
0.5000 0.0000 0.0000
0.0000 0.5000 0.0000
0.0000 0.0000 0.0000
0.5000 0.5000 0.5000
```

Ranking the structures above from most stable to least stable yields entry A, entry B, entry C.